1.
Here is Np2URu after structural relaxation from the Alexandria database. Energies are from GGA-PBE.

Lattice parameters (Å, degrees): 8.023 8.023 8.023 25.61 25.61 25.61
Fractional positions:
Np 0.103 0.103 0.103
Np 0.897 0.897 0.897
U 0.500 0.500 0.500
Ru 0.000 0.000 0.000

Calculated volume (Å³ per cell): 85
Calculated density (Mg/m³): 15.891
Raw total energy (eV for the cell shown): -43.38
ΔH_f (0 K) (kJ per mole of atoms): 74
SG: R-3m, No. 166

***

2.
Here is NaCa2NiC after structural relaxation from the Alexandria database. Energies are from GGA-PBE.

Lattice parameters (Å, degrees): 5.284 5.284 3.722 90.00 90.00 90.00
Fractional positions:
Na 0.000 0.000 0.000
Ca 0.000 0.500 0.500
Ca 0.500 0.000 0.500
Ni 0.500 0.500 0.000
C 0.500 0.500 0.500

Calculated volume (Å³ per cell): 104
Calculated density (Mg/m³): 2.779
Raw total energy (eV for the cell shown): -19.91
ΔH_f (0 K) (kJ per mole of atoms): 8
SG: P4/mmm, No. 123

***

3.
Here is Zr3Zn after structural relaxation from the Alexandria database. Energies are from GGA-PBE.

Lattice parameters (Å, degrees): 3.055 5.165 5.391 90.00 96.33 90.00
Fractional positions:
Zr 0.000 0.000 0.000
Zr 0.298 0.500 0.746
Zr 0.702 0.500 0.254
Zn 0.500 0.000 0.500

Calculated volume (Å³ per cell): 85
Calculated density (Mg/m³): 6.660
Raw total energy (eV for the cell shown): -26.84
ΔH_f (0 K) (kJ per mole of atoms): 2
SG: P2/m, No. 10

***

4.
Here is TiIrS2 after structural relaxation from the Alexandria database. Energies are from GGA-PBE.

Lattice parameters (Å, degrees): 7.618 7.618 7.618 26.50 26.50 26.50
Fractional positions:
Ti 0.000 0.000 0.000
Ir 0.500 0.500 0.500
S 0.110 0.110 0.110
S 0.890 0.890 0.890

Calculated volume (Å³ per cell): 78
Calculated density (Mg/m³): 6.510
Raw total energy (eV for the cell shown): -25.55
Distance to the lowest polymorph of the same formula (meV per atom): 480
SG: R-3m, No. 166

***

5.
Here is KTiCl3 after structural relaxation from the Alexandria database. Energies are from GGA-PBE.

Lattice parameters (Å, degrees): 5.029 5.029 5.029 90.00 90.00 90.00
Fractional positions:
K 0.000 0.000 0.000
Ti 0.500 0.500 0.500
Cl 0.000 0.500 0.500
Cl 0.500 0.000 0.500
Cl 0.500 0.500 0.000

Calculated volume (Å³ per cell): 127
Calculated density (Mg/m³): 2.525
Raw total energy (eV for the cell shown): -22.40
SG: Pm-3m, No. 221

***

6.
Here is ZrTi2Co2 after structural relaxation from the Alexandria database. Energies are from GGA-PBE.

Lattice parameters (Å, degrees): 7.174 7.174 2.954 90.00 90.00 90.00
Fractional positions:
Zr 0.000 0.000 0.000
Zr 0.500 0.500 0.000
Ti 0.155 0.345 0.500
Ti 0.345 0.845 0.500
Ti 0.655 0.155 0.500
Ti 0.845 0.655 0.500
Co 0.129 0.629 0.000
Co 0.371 0.129 0.000
Co 0.629 0.871 0.000
Co 0.871 0.371 0.000

Calculated volume (Å³ per cell): 152
Calculated density (Mg/m³): 6.659
Raw total energy (eV for the cell shown): -79.33
Distance to the lowest polymorph of the same formula (meV per atom): 36
ΔH_f (0 K) (kJ per mole of atoms): -22
SG: P4/mbm, No. 127

***

7.
Here is Rb3Pu3PaSe8 after structural relaxation from the Alexandria database. Energies are from GGA-PBE.

Lattice parameters (Å, degrees): 8.534 8.534 9.490 116.74 116.74 60.03
Fractional positions:
Rb 0.000 0.000 0.000
Rb 0.000 0.500 0.000
Rb 0.500 0.000 0.000
Pu 0.000 0.500 0.500
Pu 0.500 0.000 0.500
Pu 0.500 0.500 0.500
Pa 0.000 0.000 0.500
Se 0.224 0.742 0.691
Se 0.225 0.225 0.690
Se 0.258 0.776 0.309
Se 0.269 0.269 0.307
Se 0.731 0.731 0.693
Se 0.742 0.224 0.691
Se 0.775 0.775 0.310
Se 0.776 0.258 0.309

Calculated volume (Å³ per cell): 512
Calculated density (Mg/m³): 6.009
Raw total energy (eV for the cell shown): -105.27
SG: C2/m, No. 12

***

8.
Here is ScZn4Pt after structural relaxation from the Alexandria database. Energies are from GGA-PBE.

Lattice parameters (Å, degrees): 8.023 8.023 7.230 90.00 90.00 154.12
Fractional positions:
Sc 0.117 0.883 0.750
Sc 0.883 0.117 0.250
Zn 0.071 0.929 0.250
Zn 0.331 0.669 0.552
Zn 0.331 0.669 0.948
Zn 0.500 0.500 0.000
Zn 0.500 0.500 0.500
Zn 0.669 0.331 0.052
Zn 0.669 0.331 0.448
Zn 0.929 0.071 0.750
Pt 0.246 0.754 0.250
Pt 0.754 0.246 0.750

Calculated volume (Å³ per cell): 203
Calculated density (Mg/m³): 8.204
Raw total energy (eV for the cell shown): -39.73
Distance to the lowest polymorph of the same formula (meV per atom): 62
ΔH_f (0 K) (kJ per mole of atoms): -39
SG: Cmcm, No. 63